No. 1
The following is a GGA-PBEsol calculation of an optimized crystal structure of AsOs2IBr, from the Alexandria database.

Computed properties:
ΔE_f (raw) ... 1.698 eV per atom
Electronic total energy ... -24.69 eV/f.u.
Calculated volume ... 112 Å³/f.u.
Crystal system ... tetragonal
Space group ... P4/mmm (123)

a b c (Å): 4.6289 4.6289 5.2383
angles (deg): 90.00 90.00 90.00
Sites, in units of the cell vectors:
As (0.0000, 0.0000, 0.0000)
Os (0.0000, 0.5000, 0.0000)
Os (0.5000, 0.0000, 0.0000)
I (0.5000, 0.5000, 0.5000)
Br (0.0000, 0.0000, 0.5000)


No. 2
The following is a GGA-PBEsol calculation of an optimized crystal structure of As2PdIBr, from the Alexandria database.

Computed properties:
ΔE_f (raw) ... 0.349 eV per atom
Electronic total energy ... -18.06 eV/f.u.
Calculated volume ... 121 Å³/f.u.
Crystal system ... tetragonal
Space group ... P4/mmm (123)

a b c (Å): 4.9192 4.9192 4.9867
angles (deg): 90.00 90.00 90.00
Sites, in units of the cell vectors:
As (0.0000, 0.5000, 0.0000)
As (0.5000, 0.0000, 0.0000)
Pd (0.0000, 0.0000, 0.0000)
I (0.5000, 0.5000, 0.5000)
Br (0.0000, 0.0000, 0.5000)


No. 3
The following is a GGA-PBEsol calculation of an optimized crystal structure of RbAs2IBr, from the Alexandria database.

Computed properties:
ΔE_f (raw) ... 1.036 eV per atom
Electronic total energy ... -9.69 eV/f.u.
Calculated volume ... 271 Å³/f.u.
Crystal system ... tetragonal
Space group ... P4/mmm (123)

a b c (Å): 6.7450 6.7450 5.9531
angles (deg): 90.00 90.00 90.00
Sites, in units of the cell vectors:
Rb (0.0000, 0.0000, 0.0000)
As (0.0000, 0.5000, 0.0000)
As (0.5000, 0.0000, 0.0000)
I (0.5000, 0.5000, 0.5000)
Br (0.0000, 0.0000, 0.5000)


No. 4
The following is a GGA-PBEsol calculation of an optimized crystal structure of AsRhIBr2, from the Alexandria database.

Computed properties:
ΔE_f (raw) ... 1.467 eV per atom
Electronic total energy ... -11.42 eV/f.u.
Calculated volume ... 167 Å³/f.u.
Crystal system ... tetragonal
Space group ... P4/mmm (123)

a b c (Å): 5.5642 5.5642 5.3877
angles (deg): 90.00 90.00 90.00
Sites, in units of the cell vectors:
As (0.0000, 0.0000, 0.0000)
Rh (0.5000, 0.5000, 0.0000)
I (0.0000, 0.0000, 0.5000)
Br (0.0000, 0.5000, 0.5000)
Br (0.5000, 0.0000, 0.5000)